# 1
## Rb2PbWI6 (PBE-GGA)

Data for a relaxed Rb2PbWI6 crystal.

Summary:
Crystal system   tetragonal
ΔE_f (raw)   -518.4 meV/atom
Symmetry   I4/mmm

Unit cell a=8.600 b=8.600 c=8.617 alpha=60.06 beta=60.06 gamma=90.00
Site moments in Bohr magnetons follow the coordinates.
Fractional positions:
1 Pb 0.000 0.000 0.000  0.19
2 I 0.266 0.266 0.468  0.01
3 I 0.734 0.734 0.532  0.01
4 I 0.266 0.266 0.000  0.01
5 I 0.734 0.734 0.000  0.01
6 I 0.734 0.266 0.000  0.01
7 I 0.266 0.734 0.000  0.01
8 Rb 0.750 0.250 0.500  0.00
9 Rb 0.250 0.750 0.500  0.00
10 W 0.500 0.500 0.000  2.53

# 2
## LiCd2S2 (PBE-GGA)

Data for a relaxed LiCd2S2 crystal.

Summary:
Crystal system   tetragonal
ΔE_f (raw)   -467.3 meV/atom
Symmetry   P4/mbm

Unit cell a=7.332 b=7.332 c=3.850 alpha=90.00 beta=90.00 gamma=90.00
Fractional positions:
1 S 0.307 0.807 0.000
2 S 0.807 0.693 0.000
3 S 0.693 0.193 0.000
4 S 0.193 0.307 0.000
5 Li 0.000 0.000 0.000
6 Li 0.500 0.500 0.000
7 Cd 0.135 0.635 0.500
8 Cd 0.635 0.865 0.500
9 Cd 0.865 0.365 0.500
10 Cd 0.365 0.135 0.500

# 3
## Cr2InRh (PBE-GGA)

Data for a relaxed Cr2InRh crystal.

Summary:
Crystal system   cubic
Symmetry   F-43m
Energy relative to the elements   0.07 eV per atom

Unit cell a=4.454 b=4.454 c=4.454 alpha=60.00 beta=60.00 gamma=60.00
Site moments in Bohr magnetons follow the coordinates.
Fractional positions:
1 Cr 0.000 0.000 0.000  2.97
2 Cr 0.250 0.250 0.250  -2.99
3 In 0.500 0.500 0.500  -0.03
4 Rh 0.750 0.750 0.750  0.13

# 4
## Mn2TcRu (PBE-GGA)

Data for a relaxed Mn2TcRu crystal.

Summary:
Crystal system   orthorhombic
Symmetry   Fmmm
Energy relative to the elements   0.10 eV per atom

Unit cell a=4.509 b=4.509 c=4.515 alpha=130.88 beta=130.88 gamma=71.90
Site moments in Bohr magnetons follow the coordinates.
Fractional positions:
1 Mn 0.000 0.000 0.000  1.36
2 Mn 0.500 0.500 0.000  1.36
3 Ru 0.750 0.250 0.500  -0.19
4 Tc 0.250 0.750 0.500  -0.54

# 5
## RbTlSnI4 (PBE-GGA)

Data for a relaxed RbTlSnI4 crystal.

Summary:
Crystal system   tetragonal
ΔE_f (raw)   -783.8 meV/atom
Symmetry   I4mm

Unit cell a=6.230 b=6.230 c=10.044 alpha=108.07 beta=108.07 gamma=90.00
Fractional positions:
1 Rb 0.632 0.632 0.265
2 Tl 0.361 0.361 0.721
3 Sn 0.998 0.998 0.997
4 I 0.999 0.499 0.998
5 I 0.499 0.999 0.998
6 I 0.830 0.830 0.660
7 I 0.181 0.181 0.362

# 6
## Pu (PBE-GGA)

Data for a relaxed Pu crystal.

Summary:
Crystal system   triclinic
Offset from the most stable computed form   147 meV per atom
Symmetry   P-1
Energy relative to the elements   0.15 eV per atom

Unit cell a=3.504 b=4.519 c=4.737 alpha=69.10 beta=84.05 gamma=90.35
Fractional positions:
1 Pu 0.859 0.340 0.250
2 Pu 0.581 0.840 0.254
3 Pu 0.419 0.160 0.746
4 Pu 0.141 0.660 0.750

| no. | M_tot (μB per atom) |
| --- | --- |
| 1 | 0.40 |
| 2 | 0.00 |
| 3 | 0.02 |
| 4 | 0.50 |
| 5 | 0.00 |
| 6 | 0.00 |